VASP calculation (GGA-PBE) on a relaxed structure of Ho8TmBi6.

Cell: 10.7662 10.7662 10.7662 Å, 41.25 41.25 41.25°
Fractional positions:
Ho  0.0432  0.7133  0.3791
Ho  0.1667  0.1667  0.1667
Ho  0.2867  0.6209  0.9568
Ho  0.3791  0.0432  0.7133
Ho  0.6209  0.9568  0.2867
Ho  0.7133  0.3791  0.0432
Ho  0.8333  0.8333  0.8333
Ho  0.9568  0.2867  0.6209
Tm  0.5000  0.5000  0.5000
Bi  0.1066  0.4378  0.7700
Bi  0.2300  0.8934  0.5622
Bi  0.4378  0.7700  0.1066
Bi  0.5622  0.2300  0.8934
Bi  0.7700  0.1066  0.4378
Bi  0.8934  0.5622  0.2300

The energy relative to the elements comes out at -0.48 eV per atom. Its symmetry is No. 148. The value obtained for the total energy is -71.6 eV for the cell shown. For the calculated volume, the calculation gives 490.0 Å³/cell. The value obtained for the total moment is 0.001 μB/f.u. For the density, the calculation gives 9.293 g/cm3.